# 1
Entry from the Alexandria database: an optimized crystal structure of Sc2GaPd3 (PBE). Values from VASP.

## Properties
energy above the lowest structure with this stoichiometry = 23.74 kJ/mol of atoms
total magnetization = 0.0 μB/f.u.
DOS(E_F) = 3.11 states/eV/f.u.
symmetry = Immm
formation energy = -0.618 eV per atom
theoretical density = 7.27 g/cm³

The structure in Quantum ESPRESSO input format:
```
&SYSTEM
  ibrav = 0, nat = 6, ntyp = 3
/
ATOMIC_SPECIES
Sc 44.96 Sc.upf
Ga 69.72 Ga.upf
Pd 106.42 Pd.upf
CELL_PARAMETERS angstrom
-1.749 -3.436 -2.526
3.043 1.416 -4.032
2.614 -1.747 4.772
ATOMIC_POSITIONS angstrom
Sc 0.342 -2.747 -0.706
Sc 3.566 -1.021 -1.080
Ga 1.522 0.708 -2.016
Pd 2.304 -1.949 1.055
Pd 0.000 0.000 0.000
Pd 1.604 -1.819 -2.841
```

=====

# 2
Entry from the Alexandria database: an optimized crystal structure of Sc3GaPd (PBE). Values from VASP.

## Properties
energy above the lowest structure with this stoichiometry = 0.00 kJ/mol of atoms
total magnetization = 0.3 μB/f.u.
DOS(E_F) = 4.36 states/eV/f.u.
symmetry = Cmcm
formation energy = -0.582 eV per atom
theoretical density = 5.17 g/cm³

The structure in Quantum ESPRESSO input format:
```
&SYSTEM
  ibrav = 0, nat = 10, ntyp = 3
/
ATOMIC_SPECIES
Sc 44.96 Sc.upf
Ga 69.72 Ga.upf
Pd 106.42 Pd.upf
CELL_PARAMETERS angstrom
4.486 0.000 1.025
0.000 4.598 0.000
0.138 0.000 9.723
ATOMIC_POSITIONS angstrom
Sc 3.430 1.149 2.014
Sc 1.869 1.149 8.845
Sc 2.647 1.149 5.442
Sc 1.178 3.448 1.543
Sc 4.103 3.448 9.399
Sc 0.400 3.448 4.946
Ga 3.036 3.448 3.741
Ga 4.498 1.149 7.672
Pd 2.275 3.448 7.070
Pd 0.772 1.149 3.318
```

=====

# 3
Entry from the Alexandria database: an optimized crystal structure of ScGa2Pd (PBE). Values from VASP.

## Properties
total magnetization = 0.4 μB/f.u.
DOS(E_F) = 2.45 states/eV/f.u.
symmetry = P4/mmm
formation energy = -0.607 eV per atom
theoretical density = 7.12 g/cm³

The structure in Quantum ESPRESSO input format:
```
&SYSTEM
  ibrav = 0, nat = 4, ntyp = 3
/
ATOMIC_SPECIES
Sc 44.96 Sc.upf
Ga 69.72 Ga.upf
Pd 106.42 Pd.upf
CELL_PARAMETERS angstrom
3.161 0.000 0.000
0.000 3.161 0.000
0.000 0.000 6.786
ATOMIC_POSITIONS angstrom
Sc 1.580 1.580 3.393
Ga 0.000 0.000 5.302
Ga 0.000 0.000 1.484
Pd 1.580 1.580 0.000
```

=====

# 4
Entry from the Alexandria database: an optimized crystal structure of Sc3Ga2Pd6 (PBE). Values from VASP.

## Properties
total magnetization = 0.0 μB/f.u.
DOS(E_F) = 6.22 states/eV/f.u.
symmetry = Im-3m
formation energy = -0.722 eV per atom
theoretical density = 7.61 g/cm³

The structure in Quantum ESPRESSO input format:
```
&SYSTEM
  ibrav = 0, nat = 22, ntyp = 3
/
ATOMIC_SPECIES
Sc 44.96 Sc.upf
Ga 69.72 Ga.upf
Pd 106.42 Pd.upf
CELL_PARAMETERS angstrom
0.532 -3.230 -7.331
-3.721 -5.135 4.924
-4.182 6.843 -0.387
ATOMIC_POSITIONS angstrom
Sc -2.567 2.541 -5.428
Sc -1.083 1.072 -2.291
Sc -2.345 0.507 1.346
Sc -5.557 1.201 3.190
Sc -0.947 -2.483 -0.714
Sc -2.243 -5.883 -1.693
Ga -1.861 -2.568 2.462
Ga 0.266 -1.615 -3.666
Ga -2.091 3.422 -0.194
Ga -3.686 -0.761 -1.397
Pd -3.647 0.713 -3.510
Pd -1.051 0.152 -5.000
Pd -2.599 3.461 -2.719
Pd -3.724 -2.235 0.715
Pd -3.876 -1.114 3.141
Pd -2.296 -1.596 -3.400
Pd -5.075 0.073 0.605
Pd -4.027 2.821 1.396
Pd -2.293 -4.496 0.809
Pd -3.492 -3.309 -1.726
Pd -3.879 1.786 -1.068
Pd -0.896 -3.870 -3.217
```

=====

# 5
Entry from the Alexandria database: an optimized crystal structure of Sc2Ga2Pd7 (PBE). Values from VASP.

## Properties
total magnetization = 0.0 μB/f.u.
DOS(E_F) = 4.86 states/eV/f.u.
symmetry = Cmmm
formation energy = -0.447 eV per atom
theoretical density = 7.93 g/cm³

The structure in Quantum ESPRESSO input format:
```
&SYSTEM
  ibrav = 0, nat = 11, ntyp = 3
/
ATOMIC_SPECIES
Sc 44.96 Sc.upf
Ga 69.72 Ga.upf
Pd 106.42 Pd.upf
CELL_PARAMETERS angstrom
6.026 -0.004 -0.148
0.002 5.652 0.003
-0.523 -0.001 6.005
ATOMIC_POSITIONS angstrom
Sc 4.383 2.822 4.665
Sc 1.122 2.825 1.195
Ga 4.227 -0.001 1.542
Ga 1.277 5.648 4.318
Pd -0.261 1.433 3.005
Pd 3.016 4.217 -0.071
Pd 5.765 4.214 2.855
Pd 2.489 1.430 5.931
Pd 0.000 0.000 0.000
Pd 2.753 4.184 2.931
Pd 2.752 1.464 2.929
```

=====

# 6
Entry from the Alexandria database: an optimized crystal structure of ScGaPd (PBE). Values from VASP.

## Properties
total magnetization = 0.0 μB/f.u.
DOS(E_F) = 1.49 states/eV/f.u.
symmetry = Pnma
formation energy = -0.853 eV per atom
theoretical density = 6.97 g/cm³

The structure in Quantum ESPRESSO input format:
```
&SYSTEM
  ibrav = 0, nat = 12, ntyp = 3
/
ATOMIC_SPECIES
Sc 44.96 Sc.upf
Ga 69.72 Ga.upf
Pd 106.42 Pd.upf
CELL_PARAMETERS angstrom
4.400 0.000 0.000
0.000 6.301 0.000
0.000 0.000 7.604
ATOMIC_POSITIONS angstrom
Sc 1.100 6.245 2.146
Sc 1.100 3.095 1.657
Sc 3.300 0.056 5.459
Sc 3.300 3.207 5.948
Ga 1.100 1.874 4.417
Ga 1.100 5.025 6.990
Ga 3.300 4.427 3.188
Ga 3.300 1.277 0.614
Pd 1.100 1.460 6.933
Pd 1.100 4.610 4.474
Pd 3.300 4.842 0.672
Pd 3.300 1.691 3.130
```

=====

# 7
Entry from the Alexandria database: an optimized crystal structure of Sc5GaPd (PBE). Values from VASP.

## Properties
total magnetization = 0.0 μB/f.u.
DOS(E_F) = 8.21 states/eV/f.u.
symmetry = C2/c
formation energy = -0.336 eV per atom
theoretical density = 4.30 g/cm³

The structure in Quantum ESPRESSO input format:
```
&SYSTEM
  ibrav = 0, nat = 14, ntyp = 3
/
ATOMIC_SPECIES
Sc 44.96 Sc.upf
Ga 69.72 Ga.upf
Pd 106.42 Pd.upf
CELL_PARAMETERS angstrom
5.679 -0.988 -0.782
0.865 5.699 -0.782
1.726 1.242 8.899
ATOMIC_POSITIONS angstrom
Sc 1.123 3.659 0.943
Sc 2.584 2.795 3.983
Sc 4.689 0.526 5.393
Sc 5.397 0.314 1.443
Sc 5.662 5.012 7.802
Sc 2.608 0.943 -0.466
Sc 2.873 5.640 5.893
Sc 3.581 5.428 1.943
Sc 5.686 3.159 3.352
Sc 7.147 2.295 6.392
Ga 3.767 2.578 1.443
Ga 4.503 3.376 5.893
Pd 0.000 0.000 0.000
Pd 0.863 0.621 4.450
```

=====

# 8
Entry from the Alexandria database: an optimized crystal structure of Sc4Ga16Pd3 (PBE). Values from VASP.

## Properties
total magnetization = 0.0 μB/f.u.
DOS(E_F) = 5.59 states/eV/f.u.
symmetry = P4/mmm
formation energy = -0.507 eV per atom
theoretical density = 6.63 g/cm³

The structure in Quantum ESPRESSO input format:
```
&SYSTEM
  ibrav = 0, nat = 23, ntyp = 3
/
ATOMIC_SPECIES
Sc 44.96 Sc.upf
Ga 69.72 Ga.upf
Pd 106.42 Pd.upf
CELL_PARAMETERS angstrom
6.121 0.000 0.000
0.000 6.121 0.000
0.000 0.000 10.797
ATOMIC_POSITIONS angstrom
Sc 3.060 0.000 8.762
Sc 0.000 3.060 2.035
Sc 0.000 3.060 8.762
Sc 3.060 0.000 2.035
Ga 0.000 0.000 8.308
Ga 1.761 1.761 0.000
Ga 3.060 3.060 8.658
Ga 4.360 1.761 0.000
Ga 3.060 3.060 2.139
Ga 4.360 4.360 0.000
Ga 0.000 0.000 2.489
Ga 4.543 4.543 6.807
Ga 4.543 1.578 3.991
Ga 1.578 1.578 6.807
Ga 1.578 4.543 3.991
Ga 1.761 4.360 0.000
Ga 4.543 4.543 3.991
Ga 4.543 1.578 6.807
Ga 1.578 1.578 3.991
Ga 1.578 4.543 6.807
Pd 0.000 3.060 5.399
Pd 0.000 0.000 0.000
Pd 3.060 0.000 5.399
```

=====

# 9
Entry from the Alexandria database: an optimized crystal structure of ScGaPd (PBE). Values from VASP.

## Properties
total magnetization = 0.0 μB/f.u.
DOS(E_F) = 4.17 states/eV/f.u.
symmetry = F-43m
formation energy = -0.645 eV per atom
theoretical density = 6.12 g/cm³

The structure in Quantum ESPRESSO input format:
```
&SYSTEM
  ibrav = 0, nat = 3, ntyp = 3
/
ATOMIC_SPECIES
Sc 44.96 Sc.upf
Ga 69.72 Ga.upf
Pd 106.42 Pd.upf
CELL_PARAMETERS angstrom
-1.030 -2.633 -3.362
3.164 -1.553 -2.623
1.073 -4.258 0.136
ATOMIC_POSITIONS angstrom
Sc 1.604 -4.222 -2.925
Ga 0.000 0.000 0.000
Pd 0.802 -2.111 -1.462
```

=====

# 10
Entry from the Alexandria database: an optimized crystal structure of ScGaPd5 (PBE). Values from VASP.

## Properties
energy above the lowest structure with this stoichiometry = 0.00 kJ/mol of atoms
total magnetization = 0.0 μB/f.u.
DOS(E_F) = 2.75 states/eV/f.u.
symmetry = P4/mmm
formation energy = -0.701 eV per atom
theoretical density = 9.33 g/cm³

The structure in Quantum ESPRESSO input format:
```
&SYSTEM
  ibrav = 0, nat = 7, ntyp = 3
/
ATOMIC_SPECIES
Sc 44.96 Sc.upf
Ga 69.72 Ga.upf
Pd 106.42 Pd.upf
CELL_PARAMETERS angstrom
4.050 0.000 0.000
0.000 4.050 0.000
0.000 0.000 7.017
ATOMIC_POSITIONS angstrom
Sc 0.000 0.000 3.509
Ga 2.025 2.025 0.000
Pd 0.000 2.025 5.493
Pd 0.000 2.025 1.524
Pd 2.025 0.000 5.493
Pd 2.025 0.000 1.524
Pd 2.025 2.025 3.509
```

=====

# 11
Entry from the Alexandria database: an optimized crystal structure of ScGaPd4 (PBE). Values from VASP.

## Properties
total magnetization = 0.0 μB/f.u.
DOS(E_F) = 0.96 states/eV/f.u.
symmetry = C2/m
formation energy = -0.529 eV per atom
theoretical density = 8.30 g/cm³

The structure in Quantum ESPRESSO input format:
```
&SYSTEM
  ibrav = 0, nat = 6, ntyp = 3
/
ATOMIC_SPECIES
Sc 44.96 Sc.upf
Ga 69.72 Ga.upf
Pd 106.42 Pd.upf
CELL_PARAMETERS angstrom
-3.548 0.270 -2.257
-3.497 -1.919 1.334
-4.171 5.256 3.252
ATOMIC_POSITIONS angstrom
Sc -5.608 1.804 1.165
Ga 0.000 0.000 0.000
Pd -4.908 -0.430 -0.203
Pd -6.308 4.037 2.532
Pd -3.522 3.185 1.984
Pd -7.693 0.423 0.345
```

=====

# 12
Entry from the Alexandria database: an optimized crystal structure of ScGa2Pd (PBE). Values from VASP.

## Properties
total magnetization = 0.0 μB/f.u.
DOS(E_F) = 2.93 states/eV/f.u.
symmetry = I-42d
formation energy = -0.459 eV per atom
theoretical density = 6.45 g/cm³

The structure in Quantum ESPRESSO input format:
```
&SYSTEM
  ibrav = 0, nat = 8, ntyp = 3
/
ATOMIC_SPECIES
Sc 44.96 Sc.upf
Ga 69.72 Ga.upf
Pd 106.42 Pd.upf
CELL_PARAMETERS angstrom
7.341 0.000 0.000
0.000 7.341 0.000
3.670 3.670 2.779
ATOMIC_POSITIONS angstrom
Sc 3.670 3.670 0.000
Sc 3.670 7.341 1.390
Ga 5.749 1.835 0.695
Ga 1.591 5.505 0.695
Ga 5.505 5.262 2.084
Ga 9.176 9.420 2.084
Pd 0.000 0.000 0.000
Pd 7.341 3.670 1.390
```